No. 1
A plane-wave DFT calculation with GGA-PBE was carried out for Sm3PbSeN after structural relaxation.

The structure in POSCAR format:
```
Sm3PbSeN
1.0
-0.6450 3.0920 2.6381
-8.8097 -2.4561 0.7248
3.9624 -5.0577 6.8965
Se Sm Pb N
2 6 2 2
Direct
0.7500 0.3522 0.8434
0.2500 0.6478 0.1566
0.2500 0.5810 0.8405
0.7500 0.4190 0.1595
0.7500 0.8908 0.1592
0.7500 0.1535 0.5109
0.2500 0.8465 0.4891
0.2500 0.1092 0.8408
0.2500 0.1764 0.2119
0.7500 0.8236 0.7881
0.7500 0.9100 0.3970
0.2500 0.0900 0.6030
```

## Properties
The calculation puts the uncorrected formation energy at -1.192 eV per atom. For the electronic total energy, the calculation gives -36.8 eV/f.u.

***

No. 2
A plane-wave DFT calculation with GGA-PBE was carried out for SnPbSe2N after structural relaxation.

The structure in POSCAR format:
```
SnPbSe2N
1.0
5.4307 0.0000 0.0000
0.0000 5.4307 0.0000
0.0000 0.0000 4.1009
Se Pb Sn N
2 1 1 1
Direct
0.0000 0.5000 0.0000
0.5000 0.0000 0.0000
0.5000 0.5000 0.5000
0.0000 0.0000 0.0000
0.0000 0.0000 0.5000
```

## Properties
The calculation puts the uncorrected formation energy at 0.366 eV per atom. For the electronic total energy, the calculation gives -21.2 eV/f.u. As for the energy above the most stable polymorph in this dataset: 0 meV/atom.

***

No. 3
A plane-wave DFT calculation with GGA-PBE was carried out for SnPbSe2N after structural relaxation.

The structure in POSCAR format:
```
SnPbSe2N
1.0
5.5388 0.0000 0.0000
0.0000 5.5388 0.0000
0.0000 0.0000 4.3098
Sn Se N Pb
1 2 1 1
Direct
0.5000 0.5000 0.5000
0.5000 0.0000 0.0000
0.0000 0.5000 0.0000
0.0000 0.0000 0.5000
0.0000 0.0000 0.0000
```

## Properties
The calculation puts the uncorrected formation energy at 0.758 eV per atom. For the electronic total energy, the calculation gives -19.2 eV/f.u. As for the energy above the most stable polymorph in this dataset: 392 meV/atom.

***

No. 4
A plane-wave DFT calculation with GGA-PBE was carried out for SnPbSeN2 after structural relaxation.

The structure in POSCAR format:
```
SnPbSeN2
1.0
4.2862 0.0000 0.0000
0.0000 4.2862 0.0000
0.0000 0.0000 5.5282
N Sn Pb Se
2 1 1 1
Direct
0.0000 0.5000 0.0000
0.5000 0.0000 0.0000
0.0000 0.0000 0.0000
0.5000 0.5000 0.5000
0.0000 0.0000 0.5000
```

## Properties
The calculation puts the uncorrected formation energy at 0.920 eV per atom. For the electronic total energy, the calculation gives -23.2 eV/f.u. As for the energy above the most stable polymorph in this dataset: 0 meV/atom.

***

No. 5
A plane-wave DFT calculation with GGA-PBE was carried out for SnPbSeN2 after structural relaxation.

The structure in POSCAR format:
```
SnPbSeN2
1.0
-2.9806 0.7684 -3.2021
4.0527 -0.7932 -3.9628
-0.9758 -4.3311 -0.1311
Sn Pb N Se
1 1 2 1
Direct
0.5000 0.5000 0.5000
0.0000 0.0000 0.0000
0.5000 0.0000 0.0000
0.0000 0.0000 0.5000
0.0000 0.5000 0.0000
```

## Properties
The calculation puts the uncorrected formation energy at 1.357 eV per atom. For the electronic total energy, the calculation gives -21.1 eV/f.u. As for the energy above the most stable polymorph in this dataset: 437 meV/atom.

***

No. 6
A plane-wave DFT calculation with GGA-PBE was carried out for SrPbSe2N after structural relaxation.

The structure in POSCAR format:
```
SrPbSe2N
1.0
-4.4999 -4.0413 0.0498
3.4510 -3.8809 -3.1005
1.7177 -1.8604 4.2406
Se Pb Sr N
2 1 1 1
Direct
0.5000 0.0000 0.0000
0.0000 0.5000 0.0000
0.5000 0.5000 0.5000
0.0000 0.0000 0.0000
0.0000 0.0000 0.5000
```

## Properties
The calculation puts the uncorrected formation energy at 0.424 eV per atom. For the electronic total energy, the calculation gives -18.6 eV/f.u. As for the energy above the most stable polymorph in this dataset: 420 meV/atom.

***

No. 7
A plane-wave DFT calculation with GGA-PBE was carried out for SrPbSe2N after structural relaxation.

The structure in POSCAR format:
```
SrPbSe2N
1.0
5.5409 0.0000 0.0000
0.0000 5.5409 0.0000
0.0000 0.0000 4.6424
N Se Pb Sr
1 2 1 1
Direct
0.0000 0.0000 0.5000
0.0000 0.5000 0.0000
0.5000 0.0000 0.0000
0.0000 0.0000 0.0000
0.5000 0.5000 0.5000
```

## Properties
The calculation puts the uncorrected formation energy at 0.004 eV per atom. For the electronic total energy, the calculation gives -20.7 eV/f.u. As for the energy above the most stable polymorph in this dataset: 0 meV/atom.

***

No. 8
A plane-wave DFT calculation with GGA-PBE was carried out for TaPbSeN2 after structural relaxation.

The structure in POSCAR format:
```
TaPbSeN2
1.0
4.0416 0.0000 0.0000
0.0000 6.3824 0.0000
0.0000 0.0000 4.0416
Pb Se N Ta
1 1 2 1
Direct
0.0000 0.5000 0.0000
0.5000 0.5000 0.5000
0.5000 0.0000 0.0000
0.0000 0.0000 0.5000
0.0000 0.0000 0.0000
```

## Properties
The calculation puts the uncorrected formation energy at 0.391 eV per atom. For the electronic total energy, the calculation gives -33.7 eV/f.u. As for the energy above the most stable polymorph in this dataset: 0 meV/atom.

***

No. 9
A plane-wave DFT calculation with GGA-PBE was carried out for TaPbSeN2 after structural relaxation.

The structure in POSCAR format:
```
TaPbSeN2
1.0
4.3103 0.0000 0.0000
0.0000 4.3103 0.0000
0.0000 0.0000 5.3764
Pb N Se Ta
1 2 1 1
Direct
0.0000 0.0000 0.0000
0.0000 0.5000 0.0000
0.5000 0.0000 0.0000
0.0000 0.0000 0.5000
0.5000 0.5000 0.5000
```

## Properties
The calculation puts the uncorrected formation energy at 2.074 eV per atom. For the electronic total energy, the calculation gives -25.3 eV/f.u. As for the energy above the most stable polymorph in this dataset: 1682 meV/atom.

***

No. 10
A plane-wave DFT calculation with GGA-PBE was carried out for TaPbSe2N after structural relaxation.

The structure in POSCAR format:
```
TaPbSe2N
1.0
-4.0374 2.1084 2.8643
-0.0810 -4.3866 3.1148
2.6943 1.7384 2.5182
Pb N Se Ta
1 1 2 1
Direct
0.0000 0.0000 0.0000
0.0000 0.0000 0.5000
0.0000 0.5000 0.0000
0.5000 0.0000 0.0000
0.5000 0.5000 0.5000
```

## Properties
The calculation puts the uncorrected formation energy at 1.633 eV per atom. For the electronic total energy, the calculation gives -22.7 eV/f.u.

***

No. 11
A plane-wave DFT calculation with GGA-PBE was carried out for TcPbSeN2 after structural relaxation.

The structure in POSCAR format:
```
TcPbSeN2
1.0
4.2578 0.0000 0.0000
0.0000 4.2578 0.0000
0.0000 0.0000 5.8166
Pb N Tc Se
1 2 1 1
Direct
0.0000 0.0000 0.0000
0.0000 0.5000 0.0000
0.5000 0.0000 0.0000
0.5000 0.5000 0.5000
0.0000 0.0000 0.5000
```

## Properties
The calculation puts the uncorrected formation energy at 2.077 eV per atom. For the electronic total energy, the calculation gives -23.8 eV/f.u.

***

No. 12
A plane-wave DFT calculation with GGA-PBE was carried out for Tc2PbSeN after structural relaxation.

The structure in POSCAR format:
```
Tc2PbSeN
1.0
4.5718 0.0000 0.0000
0.0000 5.8885 0.0000
0.0000 0.0000 4.5718
Tc N Se Pb
2 1 1 1
Direct
0.5000 0.0000 0.0000
0.0000 0.0000 0.5000
0.5000 0.5000 0.5000
0.0000 0.0000 0.0000
0.0000 0.5000 0.0000
```

## Properties
The calculation puts the uncorrected formation energy at 2.091 eV per atom. For the electronic total energy, the calculation gives -25.8 eV/f.u.